P | Entry from Alexandria: a relaxed structure of HoZrRh (PBE).

a b c (Å): 7.9825 7.9825 7.9825
angles (deg): 33.17 33.17 33.17
Element x y z (fractional)
Ho  0.2124  0.2124  0.2124
Ho  0.7876  0.7876  0.7876
Zr  0.3645  0.3645  0.3645
Zr  0.6355  0.6355  0.6355
Rh  0.0671  0.0671  0.0671
Rh  0.9329  0.9329  0.9329

magnetization: 0.00 Bohr magnetons per cell
ρ: 8.80 g cm⁻³
symmetry: R-3m


Q | Entry from Alexandria: a relaxed structure of HoZrRh (PBE).

a b c (Å): 4.6846 7.0117 7.0117
angles (deg): 119.97 90.00 90.00
Element x y z (fractional)
Ho  0.0000  0.0000  0.0000
Ho  0.0000  0.4117  0.8235
Ho  0.0000  0.8235  0.4117
Zr  0.5000  0.1547  0.4122
Zr  0.5000  0.4122  0.1547
Zr  0.5000  0.6685  0.6685
Rh  0.0000  0.4099  0.4099
Rh  0.5000  0.0781  0.7457
Rh  0.5000  0.7457  0.0781

magnetization: 0.00 Bohr magnetons per cell
ρ: 8.97 g cm⁻³
symmetry: Amm2


Sorted by energy, starting with the most stable: Q, P.


P | Entry from Alexandria: a relaxed structure of Ho3Ru2 (PBE).

a b c (Å): 7.5870 7.5870 4.6909
angles (deg): 90.00 90.00 120.00
Element x y z (fractional)
Ho  0.0792  0.3844  0.2500
Ho  0.3052  0.9208  0.2500
Ho  0.3844  0.3052  0.7500
Ho  0.6156  0.6948  0.2500
Ho  0.6948  0.0792  0.7500
Ho  0.9208  0.6156  0.7500
Ru  0.0000  0.0000  0.0000
Ru  0.0000  0.0000  0.5000
Ru  0.3333  0.6667  0.7500
Ru  0.6667  0.3333  0.2500

magnetization: 0.00 Bohr magnetons per cell
ρ: 9.90 g cm⁻³
symmetry: P6_3/m


Q | Entry from Alexandria: a relaxed structure of Ho3Ru2 (PBE).

a b c (Å): 7.5031 7.5031 10.1173
angles (deg): 90.46 90.46 37.34
Element x y z (fractional)
Ho  0.0000  0.0000  0.0000
Ho  0.0017  0.0017  0.3350
Ho  0.3315  0.3315  0.9975
Ho  0.3331  0.3331  0.3326
Ho  0.3354  0.3354  0.6676
Ho  0.6646  0.6646  0.3324
Ho  0.6669  0.6669  0.6674
Ho  0.6685  0.6685  0.0025
Ho  0.9983  0.9983  0.6650
Ru  0.1642  0.1642  0.8308
Ru  0.1692  0.1692  0.5030
Ru  0.4974  0.4974  0.1640
Ru  0.5026  0.5026  0.8360
Ru  0.8308  0.8308  0.4970
Ru  0.8358  0.8358  0.1692

magnetization: 0.00 Bohr magnetons per cell
ρ: 10.05 g cm⁻³
symmetry: C2/m


Sorted by energy, starting with the most stable: P, Q.


P | Entry from Alexandria: a relaxed structure of Ho4SbRu (PBE).

a b c (Å): 7.4781 6.9553 6.8233
angles (deg): 90.00 91.39 90.00
Element x y z (fractional)
Ho  0.1408  0.1622  0.1715
Ho  0.1408  0.3378  0.6715
Ho  0.2980  0.6552  0.1450
Ho  0.2980  0.8448  0.6450
Ho  0.7020  0.1552  0.3550
Ho  0.7020  0.3448  0.8550
Ho  0.8592  0.6622  0.3285
Ho  0.8592  0.8378  0.8285
Sb  0.5000  0.0000  0.0000
Sb  0.5000  0.5000  0.5000
Ru  0.0000  0.0000  0.5000
Ru  0.0000  0.5000  0.0000

magnetization: 0.00 Bohr magnetons per cell
ρ: 8.26 g cm⁻³
symmetry: P2_1/c


Q | Entry from Alexandria: a relaxed structure of Ho4SbRu (PBE).

a b c (Å): 8.0075 4.1298 18.9277
angles (deg): 90.00 90.00 90.00
Element x y z (fractional)
Ho  0.0021  0.2500  0.0668
Ho  0.0460  0.2500  0.7858
Ho  0.1348  0.2500  0.3575
Ho  0.1431  0.2500  0.5498
Ho  0.3569  0.7500  0.0498
Ho  0.3652  0.7500  0.8575
Ho  0.4540  0.7500  0.2858
Ho  0.4979  0.7500  0.5668
Ho  0.5021  0.2500  0.4332
Ho  0.5460  0.2500  0.7142
Ho  0.6348  0.2500  0.1425
Ho  0.6431  0.2500  0.9502
Ho  0.8569  0.7500  0.4502
Ho  0.8652  0.7500  0.6425
Ho  0.9540  0.7500  0.2142
Ho  0.9979  0.7500  0.9332
Sb  0.2448  0.7500  0.6920
Sb  0.2552  0.2500  0.1920
Sb  0.7448  0.7500  0.8080
Sb  0.7552  0.2500  0.3080
Ru  0.2490  0.2500  0.9474
Ru  0.2510  0.7500  0.4474
Ru  0.7490  0.2500  0.5526
Ru  0.7510  0.7500  0.0526

magnetization: 0.00 Bohr magnetons per cell
ρ: 9.37 g cm⁻³
symmetry: Pnma


Sorted by energy, starting with the most stable: Q, P.


P | Entry from Alexandria: a relaxed structure of HoSc2Ru (PBE).

a b c (Å): 3.2665 3.2665 8.3325
angles (deg): 90.00 90.00 90.00
Element x y z (fractional)
Ho  0.0000  0.0000  0.0000
Sc  0.5000  0.5000  0.3170
Sc  0.5000  0.5000  0.6830
Ru  0.0000  0.0000  0.5000

magnetization: 0.00 Bohr magnetons per cell
ρ: 6.65 g cm⁻³
symmetry: P4/mmm


Q | Entry from Alexandria: a relaxed structure of HoSc2Ru (PBE).

a b c (Å): 7.1582 8.5489 5.9629
angles (deg): 90.00 90.00 90.00
Element x y z (fractional)
Ho  0.0359  0.2500  0.1230
Ho  0.4641  0.7500  0.6230
Ho  0.5359  0.2500  0.3770
Ho  0.9641  0.7500  0.8770
Sc  0.1748  0.0636  0.6571
Sc  0.1748  0.4364  0.6571
Sc  0.3252  0.5636  0.1571
Sc  0.3252  0.9364  0.1571
Sc  0.6748  0.0636  0.8429
Sc  0.6748  0.4364  0.8429
Sc  0.8252  0.5636  0.3429
Sc  0.8252  0.9364  0.3429
Ru  0.1166  0.7500  0.4381
Ru  0.3834  0.2500  0.9381
Ru  0.6166  0.7500  0.0619
Ru  0.8834  0.2500  0.5619

magnetization: 0.00 Bohr magnetons per cell
ρ: 6.48 g cm⁻³
symmetry: Pnma


Sorted by energy, starting with the most stable: Q, P.


P | Entry from Alexandria: a relaxed structure of Ho2ScRu (PBE).

a b c (Å): 6.0482 6.0482 8.9060
angles (deg): 90.00 90.00 143.18
Element x y z (fractional)
Ho  0.1393  0.8607  0.5654
Ho  0.1393  0.8607  0.9346
Ho  0.8607  0.1393  0.0654
Ho  0.8607  0.1393  0.4346
Sc  0.4236  0.5764  0.7500
Sc  0.5764  0.4236  0.2500
Ru  0.2334  0.7666  0.2500
Ru  0.7666  0.2334  0.7500

magnetization: 0.00 Bohr magnetons per cell
ρ: 8.10 g cm⁻³
symmetry: Cmcm


Q | Entry from Alexandria: a relaxed structure of Ho2ScRu (PBE).

a b c (Å): 7.0897 8.9527 6.1913
angles (deg): 90.00 90.00 90.00
Element x y z (fractional)
Ho  0.1790  0.0617  0.1728
Ho  0.1790  0.4383  0.1728
Ho  0.3210  0.5617  0.6728
Ho  0.3210  0.9383  0.6728
Ho  0.6790  0.0617  0.3272
Ho  0.6790  0.4383  0.3272
Ho  0.8210  0.5617  0.8272
Ho  0.8210  0.9383  0.8272
Sc  0.0428  0.2500  0.6311
Sc  0.4572  0.7500  0.1311
Sc  0.5428  0.2500  0.8689
Sc  0.9572  0.7500  0.3689
Ru  0.1167  0.7500  0.9833
Ru  0.3833  0.2500  0.4833
Ru  0.6167  0.7500  0.5167
Ru  0.8833  0.2500  0.0167

magnetization: 0.00 Bohr magnetons per cell
ρ: 8.04 g cm⁻³
symmetry: Pnma


R | Entry from Alexandria: a relaxed structure of Ho2ScRu (PBE).

a b c (Å): 3.4065 3.4065 8.3565
angles (deg): 90.00 90.00 90.00
Element x y z (fractional)
Ho  0.0000  0.0000  0.1970
Ho  0.0000  0.0000  0.8030
Sc  0.5000  0.5000  0.5000
Ru  0.5000  0.5000  0.0000

magnetization: 1.03 Bohr magnetons per cell
ρ: 8.15 g cm⁻³
symmetry: P4/mmm


S | Entry from Alexandria: a relaxed structure of Ho2ScRu (PBE).

a b c (Å): 10.5242 10.5242 10.5242
angles (deg): 18.43 18.43 18.43
Element x y z (fractional)
Ho  0.1028  0.1028  0.1028
Ho  0.8972  0.8972  0.8972
Sc  0.0000  0.0000  0.0000
Ru  0.5000  0.5000  0.5000

magnetization: 0.03 Bohr magnetons per cell
ρ: 7.77 g cm⁻³
symmetry: R-3m


Sorted by energy, starting with the most stable: Q, P, R, S.


P | Entry from Alexandria: a relaxed structure of HoScRu2 (PBE).

a b c (Å): 4.6615 4.6615 4.6615
angles (deg): 60.00 60.00 60.00
Element x y z (fractional)
Ho  0.0000  0.0000  0.0000
Sc  0.5000  0.5000  0.5000
Ru  0.2500  0.2500  0.2500
Ru  0.7500  0.7500  0.7500

magnetization: 0.00 Bohr magnetons per cell
ρ: 9.55 g cm⁻³
symmetry: Fm-3m


Q | Entry from Alexandria: a relaxed structure of HoScRu2 (PBE).

a b c (Å): 5.7202 5.7202 4.6487
angles (deg): 90.00 90.00 109.44
Element x y z (fractional)
Ho  0.1285  0.8715  0.7500
Ho  0.8715  0.1285  0.2500
Sc  0.3797  0.6203  0.2500
Sc  0.6203  0.3797  0.7500
Ru  0.1312  0.3802  0.7500
Ru  0.3802  0.1312  0.2500
Ru  0.6198  0.8688  0.7500
Ru  0.8688  0.6198  0.2500

magnetization: 0.00 Bohr magnetons per cell
ρ: 9.54 g cm⁻³
symmetry: Cmcm


Sorted by energy, starting with the most stable: P, Q.


P | Entry from Alexandria: a relaxed structure of HoSc2Ru3 (PBE).

a b c (Å): 3.2765 3.2765 9.7557
angles (deg): 90.00 90.00 90.00
Element x y z (fractional)
Ho  0.0000  0.0000  0.0000
Sc  0.0000  0.0000  0.3385
Sc  0.0000  0.0000  0.6615
Ru  0.5000  0.5000  0.1776
Ru  0.5000  0.5000  0.5000
Ru  0.5000  0.5000  0.8224

magnetization: 0.00 Bohr magnetons per cell
ρ: 8.85 g cm⁻³
symmetry: P4/mmm


Q | Entry from Alexandria: a relaxed structure of HoSc2Ru3 (PBE).

a b c (Å): 7.2844 7.2844 3.2877
angles (deg): 90.00 90.00 142.99
Element x y z (fractional)
Ho  0.0000  0.0000  0.0000
Sc  0.3306  0.6694  0.0000
Sc  0.6694  0.3306  0.0000
Ru  0.1718  0.8282  0.5000
Ru  0.5000  0.5000  0.5000
Ru  0.8282  0.1718  0.5000

magnetization: 0.00 Bohr magnetons per cell
ρ: 8.82 g cm⁻³
symmetry: Cmmm


Sorted by energy, starting with the most stable: P, Q.


P | Entry from Alexandria: a relaxed structure of HoScTlRu (PBE).

a b c (Å): 3.3054 3.3054 8.0190
angles (deg): 90.00 90.00 90.00
Element x y z (fractional)
Ho  0.0000  0.0000  0.0000
Sc  0.0000  0.0000  0.5977
Tl  0.5000  0.5000  0.3152
Ru  0.5000  0.5000  0.7804

magnetization: 0.00 Bohr magnetons per cell
ρ: 9.77 g cm⁻³
symmetry: P4mm


Q | Entry from Alexandria: a relaxed structure of HoScTlRu (PBE).

a b c (Å): 4.9369 4.9369 4.9369
angles (deg): 60.00 60.00 60.00
Element x y z (fractional)
Ho  0.0000  0.0000  0.0000
Sc  0.5000  0.5000  0.5000
Tl  0.7500  0.7500  0.7500
Ru  0.2500  0.2500  0.2500

magnetization: 0.00 Bohr magnetons per cell
ρ: 10.06 g cm⁻³
symmetry: F-43m


Sorted by energy, starting with the most stable: P, Q.


P | Entry from Alexandria: a relaxed structure of Ho2RuSe (PBE).

a b c (Å): 3.4465 3.4465 7.1665
angles (deg): 90.00 90.00 90.00
Element x y z (fractional)
Ho  0.0000  0.0000  0.2331
Ho  0.0000  0.0000  0.7669
Ru  0.5000  0.5000  0.0000
Se  0.5000  0.5000  0.5000

magnetization: 0.00 Bohr magnetons per cell
ρ: 9.95 g cm⁻³
symmetry: P4/mmm


Q | Entry from Alexandria: a relaxed structure of Ho2RuSe (PBE).

a b c (Å): 7.8850 7.8850 7.8850
angles (deg): 27.38 27.38 27.38
Element x y z (fractional)
Ho  0.2473  0.2473  0.2473
Ho  0.7527  0.7527  0.7527
Ru  0.5000  0.5000  0.5000
Se  0.0000  0.0000  0.0000

magnetization: 0.00 Bohr magnetons per cell
ρ: 9.26 g cm⁻³
symmetry: R-3m


Sorted by energy, starting with the most stable: P, Q.


P | Entry from Alexandria: a relaxed structure of Sm2Ho2Ru3 (PBE).

a b c (Å): 4.8616 4.8616 8.2564
angles (deg): 107.10 107.10 60.04
Element x y z (fractional)
Sm  0.1239  0.1239  0.3737
Sm  0.8761  0.8761  0.6263
Ho  0.3741  0.3741  0.1232
Ho  0.6259  0.6259  0.8768
Ru  0.0000  0.0000  0.0000
Ru  0.2530  0.2530  0.7582
Ru  0.7470  0.7470  0.2418

magnetization: 0.00 Bohr magnetons per cell
ρ: 9.75 g cm⁻³
symmetry: C2/m


Q | Entry from Alexandria: a relaxed structure of Sm2Ho2Ru3 (PBE).

a b c (Å): 3.3838 6.8628 7.6060
angles (deg): 114.49 90.06 90.07
Element x y z (fractional)
Sm  0.0000  0.1206  0.2526
Sm  0.0000  0.8794  0.7474
Ho  0.0019  0.6060  0.2393
Ho  0.9981  0.3940  0.7607
Ru  0.5002  0.2541  0.0058
Ru  0.5000  0.5000  0.5000
Ru  0.4998  0.7459  0.9942

magnetization: 0.00 Bohr magnetons per cell
ρ: 9.65 g cm⁻³
symmetry: P-1


Sorted by energy, starting with the most stable: Q, P.


P | Entry from Alexandria: a relaxed structure of SmHo2Ru (PBE).

a b c (Å): 7.3154 9.2077 6.3614
angles (deg): 90.00 90.00 90.00
Element x y z (fractional)
Sm  0.0405  0.2500  0.1323
Sm  0.4595  0.7500  0.6323
Sm  0.5405  0.2500  0.3677
Sm  0.9595  0.7500  0.8677
Ho  0.1764  0.0654  0.6677
Ho  0.1764  0.4346  0.6677
Ho  0.3236  0.5654  0.1677
Ho  0.3236  0.9346  0.1677
Ho  0.6764  0.0654  0.8323
Ho  0.6764  0.4346  0.8323
Ho  0.8236  0.5654  0.3323
Ho  0.8236  0.9346  0.3323
Ru  0.1142  0.7500  0.4529
Ru  0.3858  0.2500  0.9529
Ru  0.6142  0.7500  0.0471
Ru  0.8858  0.2500  0.5471

magnetization: 0.00 Bohr magnetons per cell
ρ: 9.01 g cm⁻³
symmetry: Pnma


Q | Entry from Alexandria: a relaxed structure of SmHo2Ru (PBE).

a b c (Å): 10.9563 10.9563 10.9563
angles (deg): 18.36 18.36 18.36
Element x y z (fractional)
Sm  0.0000  0.0000  0.0000
Ho  0.1082  0.1082  0.1082
Ho  0.8918  0.8918  0.8918
Ru  0.5000  0.5000  0.5000

magnetization: 0.00 Bohr magnetons per cell
ρ: 8.47 g cm⁻³
symmetry: R-3m


Sorted by energy, starting with the most stable: P, Q.